The following is a PBE with a Hubbard U calculation of crystalline PmCr3B4O12 at its relaxed geometry, from Alexandria via LeMat-Bulk.

The structure in CIF format:
```
data_PmCr3B4O12
_cell_length_a 9.6249
_cell_length_b 9.6249
_cell_length_c 7.6681
_cell_angle_alpha 90.00
_cell_angle_beta 90.00
_cell_angle_gamma 120.00
_symmetry_space_group_name_H-M 'R 3 2'
_symmetry_Int_Tables_number 155
_symmetry_space_group_name_Hall 'R 3 2"'
loop_
_atom_site_label
_atom_site_type_symbol
_atom_site_fract_x
_atom_site_fract_y
_atom_site_fract_z
Pm1 Pm 0.0000 0.0000 0.0000
Cr1 Cr 0.0000 0.5544 0.0000
B1 B 0.0000 0.0000 0.5000
B2 B 0.0000 0.4438 0.5000
O1 O 0.0000 0.5887 0.5000
O2 O 0.0000 0.8558 0.5000
O3 O 0.0274 0.2146 0.1840
```

Values from the calculation:
**Volume**: 10.3 A^3/atom
**VASP energy**: -0.5953 Ry/atom